Entry 1:
Below is a geometry-optimized LaAg3Au structure, with properties calculated at the PBE level.

abc: 5.139 5.139 5.139
angles: 90.00 90.00 90.00
Sites, in units of the cell vectors:
1 Ag 0.500 0.000 0.000
2 Ag 0.000 0.000 0.500
3 Ag 0.000 0.500 0.000
4 Au 0.000 0.000 0.000
5 La 0.500 0.500 0.500

E_tot: -3.18 eV per atom
Energy above the most stable polymorph in this dataset: 0.5050 eV per atom
Formation enthalpy at 0 K: 0.168 eV per atom
Crystal system: cubic
DOS at the Fermi energy: 3.80 states/eV per cell
V: 27.14 A^3/atom


Entry 2:
Below is a geometry-optimized Tm4Sb3 structure, with properties calculated at the PBE level.

abc: 4.308 4.308 13.302
angles: 80.68 80.68 60.00
Sites, in units of the cell vectors:
1 Sb 0.000 0.000 0.000
2 Sb 0.243 0.243 0.270
3 Sb 0.757 0.757 0.730
4 Tm 0.868 0.868 0.397
5 Tm 0.377 0.377 0.868
6 Tm 0.623 0.623 0.132
7 Tm 0.132 0.132 0.603

E_tot: -5.12 eV per atom
Raw formation energy: -0.80 eV/atom
Crystal system: trigonal
DOS at the Fermi energy: 3.33 states/eV per cell
V: 30.01 A^3/atom


Entry 3:
Below is a geometry-optimized HoErCuPd structure, with properties calculated at the PBE level.

abc: 3.688 4.531 5.504
angles: 90.00 109.58 90.00
Sites, in units of the cell vectors:
1 Er 0.861 0.500 0.723
2 Ho 0.139 0.000 0.278
3 Cu 0.421 0.000 0.842
4 Pd 0.579 0.500 0.158

E_tot: -5.23 eV per atom
Energy above the most stable polymorph in this dataset: 0.0000 eV per atom
Formation enthalpy at 0 K: -0.620 eV per atom
Crystal system: orthorhombic
DOS at the Fermi energy: 2.23 states/eV per cell
V: 21.67 A^3/atom


Entry 4:
Below is a geometry-optimized Cs4Rb2Na structure, with properties calculated at the PBE level.

abc: 7.930 7.930 13.544
angles: 72.98 72.98 90.00
Sites, in units of the cell vectors:
1 Na 0.000 0.000 0.000
2 Cs 0.825 0.825 0.349
3 Cs 0.500 0.000 0.000
4 Cs 0.000 0.500 0.000
5 Cs 0.175 0.175 0.651
6 Rb 0.372 0.372 0.257
7 Rb 0.628 0.628 0.743

E_tot: -0.87 eV per atom
Energy above the most stable polymorph in this dataset: 0.0658 eV per atom
Formation enthalpy at 0 K: 0.079 eV per atom
Crystal system: tetragonal
DOS at the Fermi energy: 6.18 states/eV per cell
V: 110.77 A^3/atom


Entry 5:
Below is a geometry-optimized HoZrScPa structure, with properties calculated at the PBE level.

abc: 5.248 5.248 5.248
angles: 60.00 60.00 60.00
Sites, in units of the cell vectors:
1 Zr 0.000 0.000 0.000
2 Pa 0.250 0.250 0.250
3 Sc 0.500 0.500 0.500
4 Ho 0.750 0.750 0.750

E_tot: -7.02 eV per atom
Formation enthalpy at 0 K: 0.220 eV per atom
Crystal system: cubic
DOS at the Fermi energy: 7.62 states/eV per cell
V: 25.55 A^3/atom


Entry 6:
Below is a geometry-optimized Sc2FeS structure, with properties calculated at the PBE level.

abc: 8.044 8.044 8.044
angles: 24.25 24.25 24.25
Each line ends with the local moment (μB).
Sites, in units of the cell vectors:
1 Sc 0.097 0.097 0.097  -0.16
2 Sc 0.903 0.903 0.903  -0.16
3 Fe 0.000 0.000 0.000  1.99
4 S 0.500 0.500 0.500  0.00

E_tot: -6.66 eV per atom
Raw formation energy: -0.35 eV/atom
Crystal system: trigonal
DOS at the Fermi energy: 2.13 states/eV per cell
V: 19.30 A^3/atom